Computed, not measured: crystalline BeTc2Ag at its relaxed geometry at the PBEsol level of DFT.

```
4
Lattice="-3.242 1.380 -0.415 -1.372 -2.643 1.929 0.531 2.315 3.550" Properties=species:S:1:pos:R:3 pbc="T T T"
Be 0.265 1.157 1.775
Tc -0.686 -1.322 0.964
Tc -1.621 0.690 -0.208
Ag -2.042 0.526 2.532
```

## Properties
The value obtained for the density of states at the Fermi level is 3.0 states/eV/cell. The value obtained for the formation energy is 0.399 eV/atom. The final energy comes out at -7.06 eV per atom. As for the space group: P4/mmm. The volume is 53.8 Å³ per cell.